# CdW3O | Alexandria via LeMat-Bulk | PBE with a Hubbard U | optimized geometry
data_CdW3O
_cell_length_a 4.2594
_cell_length_b 4.2594
_cell_length_c 4.2594
_cell_angle_alpha 90.00
_cell_angle_beta 90.00
_cell_angle_gamma 90.00
_space_group_name_H-M_alt 'P 1'
_space_group_IT_number 1
_space_group_name_Hall 'P 1'
loop_
_atom_site_label
_atom_site_fract_x
_atom_site_fract_y
_atom_site_fract_z
_atom_site_occupancy
W1 0.0000 0.5000 0.0000 1
Cd1 0.5000 0.5000 0.5000 1
O1 0.0000 0.0000 0.0000 1
W2 0.5000 0.0000 0.0000 1
W3 0.0000 0.0000 0.5000 1
# crystal system	cubic
# space-group type	Pm-3m (221)
# energy above the lowest structure with this stoichiometry	0	meV per atom
# D(E_F)	3.8	states/eV/f.u.
# magnetic moment	0.0523	μB/atom
# raw total energy	-4.6941	eV/atom